# 1
A plane-wave DFT calculation with PBE was carried out for a relaxed Sr2LiMo crystal.

```
4
Lattice="0.0000 3.9896 3.9896 3.9896 0.0000 3.9896 3.9896 3.9896 0.0000" Properties=species:S:1:pos:R:3 pbc="T T T"
Sr 1.9948 1.9948 1.9948
Sr 5.9844 5.9844 5.9844
Li 0.0000 0.0000 0.0000
Mo 3.9896 3.9896 3.9896
```

Computed properties:
ΔE to the lowest computed polymorph, meV per atom: 10
Energy of formation, eV per atom: 0.74
Final energy, eV/atom: -3.286

---

# 2
A plane-wave DFT calculation with PBE was carried out for a relaxed SrLi2Mo crystal.

```
4
Lattice="-1.8693 2.6247 5.0405 1.8693 -2.6247 5.0405 1.8693 2.6247 -5.0405" Properties=species:S:1:pos:R:3 pbc="T T T"
Sr 0.0000 0.0000 0.0000
Li 1.8693 0.0000 2.7847
Li 0.0000 2.6247 2.2558
Mo 0.0000 0.0000 5.0405
```

Computed properties:
ΔE to the lowest computed polymorph, meV per atom: 158
Energy of formation, eV per atom: 0.81
Final energy, eV/atom: -3.274

---

# 3
A plane-wave DFT calculation with PBE was carried out for a relaxed SrLi3Mo crystal.

```
5
Lattice="4.6900 0.0000 0.0000 0.0000 4.6900 0.0000 0.0000 0.0000 4.6900" Properties=species:S:1:pos:R:3 pbc="T T T"
Sr 0.0000 0.0000 0.0000
Li 0.0000 0.0000 2.3450
Li 0.0000 2.3450 0.0000
Li 2.3450 0.0000 0.0000
Mo 2.3450 2.3450 2.3450
```

Computed properties:
ΔE to the lowest computed polymorph, meV per atom: 799
Energy of formation, eV per atom: 1.65
Final energy, eV/atom: -2.003

---

# 4
A plane-wave DFT calculation with PBE was carried out for a relaxed SrLi2Mo crystal.

```
4
Lattice="2.9199 0.0000 0.0000 0.0000 4.3354 0.0000 0.0000 0.0000 6.6402" Properties=species:S:1:pos:R:3 pbc="T T T"
Sr 0.0000 0.0000 0.0000
Li 1.4599 2.1677 2.0953
Li 1.4599 2.1677 4.5450
Mo 0.0000 0.0000 3.3201
```

Computed properties:
ΔE to the lowest computed polymorph, meV per atom: 117
Energy of formation, eV per atom: 0.77
Final energy, eV/atom: -3.315

---

# 5
A plane-wave DFT calculation with PBE was carried out for a relaxed SrLiMo2 crystal.

```
4
Lattice="-1.9238 1.9238 5.3287 1.9238 -1.9238 5.3287 1.9238 1.9238 -5.3287" Properties=species:S:1:pos:R:3 pbc="T T T"
Sr 0.0000 0.0000 0.0000
Li 0.0000 0.0000 5.3287
Mo 1.9238 0.0000 2.6643
Mo 0.0000 1.9238 2.6643
```

Computed properties:
ΔE to the lowest computed polymorph, meV per atom: 384
Energy of formation, eV per atom: 0.89
Final energy, eV/atom: -5.429

---

# 6
A plane-wave DFT calculation with PBE was carried out for a relaxed Sr2LiMo crystal.

```
4
Lattice="1.8304 1.0568 10.9727 -1.8304 1.0568 10.9727 0.0000 -2.1136 10.9727" Properties=species:S:1:pos:R:3 pbc="T T T"
Sr 0.0000 0.0000 7.8731
Sr 0.0000 0.0000 25.0450
Li 0.0000 0.0000 0.0000
Mo 0.0000 0.0000 16.4591
```

Computed properties:
ΔE to the lowest computed polymorph, meV per atom: 129
Energy of formation, eV per atom: 0.86
Final energy, eV/atom: -3.167

---

# 7
A plane-wave DFT calculation with PBE was carried out for a relaxed SrLiMo2 crystal.

```
4
Lattice="3.3060 0.0000 0.0000 0.0000 4.3474 0.0000 0.0000 0.0000 5.4303" Properties=species:S:1:pos:R:3 pbc="T T T"
Sr 0.0000 0.0000 0.0000
Li 1.6530 2.1737 0.0000
Mo 0.0000 2.1737 2.7152
Mo 1.6530 0.0000 2.7152
```

Computed properties:
ΔE to the lowest computed polymorph, meV per atom: 338
Energy of formation, eV per atom: 0.84
Final energy, eV/atom: -5.475

---

# 8
A plane-wave DFT calculation with PBE was carried out for a relaxed SrLiMo2 crystal.

```
4
Lattice="2.9597 0.0000 0.0000 0.0000 5.4214 0.0000 -0.6250 0.0000 4.9172" Properties=species:S:1:pos:R:3 pbc="T T T"
Sr 0.0000 0.0000 0.0000
Li 1.1674 0.0000 2.4586
Mo 0.6356 2.7107 3.6337
Mo 1.6991 2.7107 1.2835
```

Computed properties:
ΔE to the lowest computed polymorph, meV per atom: 347
Energy of formation, eV per atom: 0.85
Final energy, eV/atom: -5.465

---

# 9
A plane-wave DFT calculation with PBE was carried out for a relaxed Sr2LiMo crystal.

```
4
Lattice="4.0268 0.0000 0.0000 0.0000 5.1553 0.0000 -1.9999 0.0000 6.1801" Properties=species:S:1:pos:R:3 pbc="T T T"
Sr 0.0000 0.0000 0.0000
Sr 0.0041 2.5776 3.6049
Li 2.0174 2.5776 1.0946
Mo 2.0142 0.0000 2.6963
```

Computed properties:
ΔE to the lowest computed polymorph, meV per atom: 31
Energy of formation, eV per atom: 0.76
Final energy, eV/atom: -3.265

---

# 10
A plane-wave DFT calculation with PBE was carried out for a relaxed SrLi2Mo crystal.

```
4
Lattice="2.9944 0.0000 0.0000 0.0000 2.9944 0.0000 0.0000 0.0000 9.5350" Properties=species:S:1:pos:R:3 pbc="T T T"
Sr 0.0000 0.0000 0.0000
Li 0.0000 0.0000 5.1184
Li 1.4972 1.4972 3.0291
Mo 1.4972 1.4972 7.0255
```

Computed properties:
ΔE to the lowest computed polymorph, meV per atom: 0
Energy of formation, eV per atom: 0.65
Final energy, eV/atom: -3.432

---

# 11
A plane-wave DFT calculation with PBE was carried out for a relaxed SrLiMo2 crystal.

```
4
Lattice="1.6822 -2.5515 0.0000 1.6822 2.5515 0.0000 0.0000 0.0000 9.9562" Properties=species:S:1:pos:R:3 pbc="T T T"
Sr 0.0000 0.0000 0.0000
Li 1.6822 0.0000 6.8515
Mo 0.0000 0.0000 4.5760
Mo 1.6822 0.0000 2.7594
```

Computed properties:
ΔE to the lowest computed polymorph, meV per atom: 167
Energy of formation, eV per atom: 0.67
Final energy, eV/atom: -5.645

---

# 12
A plane-wave DFT calculation with PBE was carried out for a relaxed Sr2LiMo crystal.

```
4
Lattice="3.9043 0.0000 0.0000 0.0000 3.9043 0.0000 0.0000 0.0000 8.4287" Properties=species:S:1:pos:R:3 pbc="T T T"
Sr 0.0000 0.0000 1.8944
Sr 0.0000 0.0000 6.5343
Li 1.9521 1.9521 4.2143
Mo 1.9521 1.9521 0.0000
```

Computed properties:
ΔE to the lowest computed polymorph, meV per atom: 0
Energy of formation, eV per atom: 0.73
Final energy, eV/atom: -3.296

---

# 13
A plane-wave DFT calculation with PBE was carried out for a relaxed SrLi2Mo crystal.

```
4
Lattice="3.0881 -4.7640 0.0000 3.0881 4.7640 0.0000 0.0000 0.0000 2.8670" Properties=species:S:1:pos:R:3 pbc="T T T"
Sr 0.0000 0.0000 0.0000
Li 1.5440 2.3820 1.4335
Li 1.5440 -2.3820 1.4335
Mo 3.0881 0.0000 0.0000
```

Computed properties:
ΔE to the lowest computed polymorph, meV per atom: 183
Energy of formation, eV per atom: 0.84
Final energy, eV/atom: -3.250

---

# 14
A plane-wave DFT calculation with PBE was carried out for a relaxed SrLi2Mo crystal.

```
4
Lattice="4.8329 0.0000 0.0000 0.0000 4.8329 0.0000 0.0000 0.0000 3.9515" Properties=species:S:1:pos:R:3 pbc="T T T"
Sr 0.0000 0.0000 0.0000
Li 0.0000 2.4164 1.9758
Li 2.4164 0.0000 1.9758
Mo 2.4164 2.4164 0.0000
```

Computed properties:
ΔE to the lowest computed polymorph, meV per atom: 194
Energy of formation, eV per atom: 0.85
Final energy, eV/atom: -3.238

---

# 15
A plane-wave DFT calculation with PBE was carried out for a relaxed SrLiMo2 crystal.

```
4
Lattice="2.6841 -5.4099 0.0000 2.6841 5.4099 0.0000 -0.7524 0.0000 2.6667" Properties=species:S:1:pos:R:3 pbc="T T T"
Sr 0.0000 0.0000 0.0000
Li 2.6841 0.0000 0.0000
Mo 0.9658 2.7049 1.3334
Mo 0.9658 -2.7049 1.3334
```

Computed properties:
ΔE to the lowest computed polymorph, meV per atom: 372
Energy of formation, eV per atom: 0.87
Final energy, eV/atom: -5.440

---

# 16
A plane-wave DFT calculation with PBE was carried out for a relaxed Sr2LiMo crystal.

```
4
Lattice="1.8415 1.0632 10.8013 -1.8415 1.0632 10.8013 0.0000 -2.1263 10.8013" Properties=species:S:1:pos:R:3 pbc="T T T"
Sr 0.0000 0.0000 0.0000
Sr 0.0000 0.0000 7.1022
Li 0.0000 0.0000 24.4609
Mo 0.0000 0.0000 15.4925
```

Computed properties:
ΔE to the lowest computed polymorph, meV per atom: 262
Energy of formation, eV per atom: 0.99
Final energy, eV/atom: -3.035

---

# 17
A plane-wave DFT calculation with PBE was carried out for a relaxed SrLi2Mo crystal.

```
8
Lattice="-2.2733 2.2733 10.6910 2.2733 -2.2733 10.6910 2.2733 2.2733 -10.6910" Properties=species:S:1:pos:R:3 pbc="T T T"
Sr 0.0000 0.0000 0.0000
Sr 0.0000 2.2733 5.3455
Li 1.1367 -0.7724 8.0182
Li 1.5009 1.1367 2.6727
Li 1.1367 3.0457 -2.6727
Li 0.7724 1.1367 13.3637
Mo 2.2733 0.0000 5.3455
Mo 0.0000 0.0000 10.6910
```

Computed properties:
ΔE to the lowest computed polymorph, meV per atom: 331
Energy of formation, eV per atom: 0.98
Final energy, eV/atom: -3.101

---

# 18
A plane-wave DFT calculation with PBE was carried out for a relaxed Sr2LiMo crystal.

```
4
Lattice="3.7864 0.0000 0.0000 0.0000 3.7864 0.0000 0.0000 0.0000 8.7039" Properties=species:S:1:pos:R:3 pbc="T T T"
Sr 0.0000 0.0000 0.0000
Sr 1.8932 1.8932 3.3936
Li 0.0000 0.0000 5.5708
Mo 1.8932 1.8932 6.6373
```

Computed properties:
ΔE to the lowest computed polymorph, meV per atom: 24
Energy of formation, eV per atom: 0.76
Final energy, eV/atom: -3.272

---

# 19
A plane-wave DFT calculation with PBE was carried out for a relaxed Sr2LiMo crystal.

```
4
Lattice="5.0557 -1.8304 0.0000 5.0557 1.8304 0.0000 -1.0576 0.0000 7.0953" Properties=species:S:1:pos:R:3 pbc="T T T"
Sr 2.1979 0.0000 1.6187
Sr 6.8559 0.0000 5.4766
Li -0.5288 0.0000 3.5476
Mo 5.0557 0.0000 0.0000
```

Computed properties:
ΔE to the lowest computed polymorph, meV per atom: 193
Energy of formation, eV per atom: 0.92
Final energy, eV/atom: -3.103

---

# 20
A plane-wave DFT calculation with PBE was carried out for a relaxed SrLiMo2 crystal.

```
4
Lattice="3.3410 0.0000 0.0000 0.0000 3.3410 0.0000 0.0000 0.0000 7.8547" Properties=species:S:1:pos:R:3 pbc="T T T"
Sr 0.0000 0.0000 0.0000
Li 1.6705 1.6705 2.6583
Mo 0.0000 0.0000 4.3236
Mo 1.6705 1.6705 5.4413
```

Computed properties:
ΔE to the lowest computed polymorph, meV per atom: 0
Energy of formation, eV per atom: 0.50
Final energy, eV/atom: -5.812

---

# 21
A plane-wave DFT calculation with PBE was carried out for a relaxed SrLi4Mo crystal.

```
6
Lattice="0.0000 4.0464 4.0464 4.0464 0.0000 4.0464 4.0464 4.0464 0.0000" Properties=species:S:1:pos:R:3 pbc="T T T"
Sr 0.0000 0.0000 0.0000
Li 5.0310 3.0618 3.0618
Li 3.0618 5.0310 3.0618
Li 3.0618 3.0618 5.0310
Li 5.0310 5.0310 5.0310
Mo 2.0232 2.0232 2.0232
```

Computed properties:
Energy of formation, eV per atom: 0.53
Final energy, eV/atom: -2.835

---

# 22
A plane-wave DFT calculation with PBE was carried out for a relaxed Sr2LiMo crystal.

```
4
Lattice="0.0000 3.9572 3.9572 3.9572 0.0000 3.9572 3.9572 3.9572 0.0000" Properties=species:S:1:pos:R:3 pbc="T T T"
Sr 0.0000 0.0000 0.0000
Sr 1.9786 1.9786 1.9786
Li 3.9572 3.9572 3.9572
Mo 5.9358 5.9358 5.9358
```

Computed properties:
ΔE to the lowest computed polymorph, meV per atom: 165
Energy of formation, eV per atom: 0.90
Final energy, eV/atom: -3.131

---

# 23
A plane-wave DFT calculation with PBE was carried out for a relaxed SrLi3Mo crystal.

```
5
Lattice="5.2079 0.0000 0.0000 0.0000 5.2079 0.0000 0.0000 0.0000 5.2079" Properties=species:S:1:pos:R:3 pbc="T T T"
Sr 0.0000 0.0000 0.0000
Li 0.0000 2.6040 2.6040
Li 2.6040 0.0000 2.6040
Li 2.6040 2.6040 0.0000
Mo 2.6040 2.6040 2.6040
```

Computed properties:
ΔE to the lowest computed polymorph, meV per atom: 0
Energy of formation, eV per atom: 0.85
Final energy, eV/atom: -2.802

---

# 24
A plane-wave DFT calculation with PBE was carried out for a relaxed Sr3LiMo crystal.

```
5
Lattice="5.8717 0.0000 0.0000 0.0000 5.8717 0.0000 0.0000 0.0000 5.8717" Properties=species:S:1:pos:R:3 pbc="T T T"
Sr 0.0000 0.0000 2.9359
Sr 0.0000 2.9359 0.0000
Sr 2.9359 0.0000 0.0000
Li 2.9359 2.9359 2.9359
Mo 0.0000 0.0000 0.0000
```

Computed properties:
ΔE to the lowest computed polymorph, meV per atom: 0
Energy of formation, eV per atom: 0.78
Final energy, eV/atom: -2.783

---

# 25
A plane-wave DFT calculation with PBE was carried out for a relaxed SrLi2Mo crystal.

```
4
Lattice="0.0000 3.6311 3.6311 3.6311 0.0000 3.6311 3.6311 3.6311 0.0000" Properties=species:S:1:pos:R:3 pbc="T T T"
Sr 0.0000 0.0000 0.0000
Li 1.8155 1.8155 1.8155
Li 5.4466 5.4466 5.4466
Mo 3.6311 3.6311 3.6311
```

Computed properties:
ΔE to the lowest computed polymorph, meV per atom: 139
Energy of formation, eV per atom: 0.79
Final energy, eV/atom: -3.294

---

# 26
A plane-wave DFT calculation with PBE was carried out for a relaxed SrLiMo3 crystal.

```
5
Lattice="4.8341 0.0000 0.0000 0.0000 4.8341 0.0000 0.0000 0.0000 4.8341" Properties=species:S:1:pos:R:3 pbc="T T T"
Sr 0.0000 0.0000 0.0000
Li 2.4171 2.4171 2.4171
Mo 0.0000 0.0000 2.4171
Mo 0.0000 2.4171 0.0000
Mo 2.4171 0.0000 0.0000
```

Computed properties:
ΔE to the lowest computed polymorph, meV per atom: 1273
Energy of formation, eV per atom: 2.94
Final energy, eV/atom: -4.279

---

# 27
A plane-wave DFT calculation with PBE was carried out for a relaxed SrLiMo2 crystal.

```
4
Lattice="2.7303 0.0000 0.0000 0.0000 5.3458 0.0000 0.0000 0.0000 5.3902" Properties=species:S:1:pos:R:3 pbc="T T T"
Sr 0.0000 0.0000 0.0000
Li 0.0000 0.0000 2.6951
Mo 1.3652 2.6729 1.3215
Mo 1.3652 2.6729 4.0687
```

Computed properties:
ΔE to the lowest computed polymorph, meV per atom: 433
Energy of formation, eV per atom: 0.93
Final energy, eV/atom: -5.380

---

# 28
A plane-wave DFT calculation with PBE was carried out for a relaxed Sr2LiMo crystal.

```
8
Lattice="-2.5016 2.5016 11.1718 2.5016 -2.5016 11.1718 2.5016 2.5016 -11.1718" Properties=species:S:1:pos:R:3 pbc="T T T"
Sr 3.7524 1.2213 -2.7929
Sr 1.2213 1.2508 2.7929
Sr -1.2508 1.2803 8.3788
Sr 1.2803 1.2508 13.9647
Li 2.5016 0.0000 5.5859
Li 0.0000 0.0000 11.1718
Mo 0.0000 0.0000 0.0000
Mo 0.0000 2.5016 5.5859
```

Computed properties:
ΔE to the lowest computed polymorph, meV per atom: 470
Energy of formation, eV per atom: 1.20
Final energy, eV/atom: -2.826

---

# 29
A plane-wave DFT calculation with PBE was carried out for a relaxed Sr2LiMo crystal.

```
4
Lattice="-2.4384 2.4384 5.4379 2.4384 -2.4384 5.4379 2.4384 2.4384 -5.4379" Properties=species:S:1:pos:R:3 pbc="T T T"
Sr 0.0000 0.0000 0.0000
Sr 0.0000 2.4384 2.7189
Li 2.4384 0.0000 2.7189
Mo 0.0000 0.0000 5.4379
```

Computed properties:
ΔE to the lowest computed polymorph, meV per atom: 125
Energy of formation, eV per atom: 0.86
Final energy, eV/atom: -3.171

---

# 30
A plane-wave DFT calculation with PBE was carried out for a relaxed SrLiMo2 crystal.

```
4
Lattice="1.4238 0.8220 10.8373 -1.4238 0.8220 10.8373 0.0000 -1.6440 10.8373" Properties=species:S:1:pos:R:3 pbc="T T T"
Sr 0.0000 0.0000 0.0000
Li 0.0000 0.0000 16.2559
Mo 0.0000 0.0000 7.8889
Mo 0.0000 0.0000 24.6229
```

Computed properties:
ΔE to the lowest computed polymorph, meV per atom: 606
Energy of formation, eV per atom: 1.11
Final energy, eV/atom: -5.206